Entry 1:
! GdMgAu, relaxed, DFT PBE; values from VASP
! Symmetry: P-62m (189)
! Total moment, μB per formula unit: 0.00
! Electronic total energy, eV per atom: -3.84
&SYSTEM
  ibrav = 0, nat = 9, ntyp = 3
/
ATOMIC_SPECIES
Au 196.97 Au.upf
Gd 157.25 Gd.upf
Mg 24.30 Mg.upf
CELL_PARAMETERS angstrom
7.5371 0.0000 0.0000
-3.7685 6.5273 0.0000
0.0000 0.0000 4.2050
ATOMIC_POSITIONS crystal
Au 0.0000 0.0000 0.5000
Au 0.3333 0.6667 0.0000
Gd 0.0000 0.5865 0.5000
Gd 0.5865 0.0000 0.5000
Au 0.6667 0.3333 0.0000
Mg 0.2429 0.0000 0.0000
Mg 0.7571 0.7571 0.0000
Gd 0.4135 0.4135 0.5000
Mg 0.0000 0.2429 0.0000

---

Entry 2:
! CdAg2SnTe2Se2, relaxed, DFT PBE; values from VASP
! Symmetry: Fmm2 (42)
! Electronic total energy, eV per atom: -3.26
&SYSTEM
  ibrav = 0, nat = 8, ntyp = 5
/
ATOMIC_SPECIES
Te 127.60 Te.upf
Cd 112.41 Cd.upf
Ag 107.87 Ag.upf
Sn 118.71 Sn.upf
Se 78.96 Se.upf
CELL_PARAMETERS angstrom
-7.7849 0.2040 -0.0258
-5.1246 0.7282 -5.7392
-2.7650 -5.4500 -1.6271
ATOMIC_POSITIONS crystal
Te 0.6203 0.1272 0.8728
Cd 0.0087 0.0087 0.9913
Ag 0.2400 0.2400 0.2600
Ag 0.7400 0.7400 0.7600
Sn 0.5067 0.5067 0.4933
Se 0.8690 0.3880 0.1310
Te 0.1272 0.6203 0.3797
Se 0.3880 0.8690 0.6120

---

Entry 3:
! BaMg2ZnAu, relaxed, DFT PBE; values from VASP
! Symmetry: I4mm (107)
! Electronic total energy, eV per atom: -2.30
&SYSTEM
  ibrav = 0, nat = 5, ntyp = 4
/
ATOMIC_SPECIES
Mg 24.30 Mg.upf
Au 196.97 Au.upf
Ba 137.33 Ba.upf
Zn 65.41 Zn.upf
CELL_PARAMETERS angstrom
-2.2791 2.2791 6.2515
2.2791 -2.2791 6.2515
2.2791 2.2791 -6.2515
ATOMIC_POSITIONS crystal
Mg 0.7526 0.2526 0.5000
Au 0.3851 0.3851 0.0000
Ba 0.0002 0.0002 0.0000
Mg 0.2526 0.7526 0.5000
Zn 0.6095 0.6095 0.0000

---

Entry 4:
! NdHgSO, relaxed, DFT PBE; values from VASP
! Symmetry: P4/nmm (129)
! Total moment, μB per formula unit: 0.37
! Electronic total energy, eV per atom: -5.23
&SYSTEM
  ibrav = 0, nat = 8, ntyp = 4
/
ATOMIC_SPECIES
S 32.06 S.upf
Nd 144.24 Nd.upf
Hg 200.59 Hg.upf
O 16.00 O.upf
CELL_PARAMETERS angstrom
-0.6502 -1.9845 -3.4567
-1.3152 -3.1995 2.0842
-9.3215 3.6201 -0.3250
ATOMIC_POSITIONS crystal
S 0.2500 0.2500 0.7319
Nd 0.7500 0.7500 0.8809
Hg 0.7500 0.2500 0.5000
Nd 0.2500 0.2500 0.1191
O 0.7500 0.2500 0.0000
S 0.7500 0.7500 0.2681
O 0.2500 0.7500 0.0000
Hg 0.2500 0.7500 0.5000

---

Entry 5:
! LaIr2, relaxed, DFT PBE; values from VASP
! Symmetry: Fd-3m (227)
! Total moment, μB per formula unit: 0.00
! Electronic total energy, eV per atom: -8.28
&SYSTEM
  ibrav = 0, nat = 6, ntyp = 2
/
ATOMIC_SPECIES
Ir 192.22 Ir.upf
La 138.91 La.upf
CELL_PARAMETERS angstrom
1.9517 -2.2907 4.5661
-3.4303 -1.5192 3.9788
-0.8682 -5.3091 0.9824
ATOMIC_POSITIONS crystal
Ir 0.6250 0.6250 0.6250
Ir 0.1250 0.6250 0.6250
La 0.0000 0.0000 0.0000
La 0.2500 0.2500 0.2500
Ir 0.6250 0.1250 0.6250
Ir 0.6250 0.6250 0.1250

---

Entry 6:
! CoReBPt, relaxed, DFT PBE; values from VASP
! Symmetry: F-43m (216)
! Total moment, μB per formula unit: 1.30
! Electronic total energy, eV per atom: -7.19
&SYSTEM
  ibrav = 0, nat = 4, ntyp = 4
/
ATOMIC_SPECIES
B 10.81 B.upf
Co 58.93 Co.upf
Pt 195.08 Pt.upf
Re 186.21 Re.upf
CELL_PARAMETERS angstrom
-0.9414 -3.2890 2.3416
-2.2981 0.4779 3.4171
-3.8903 -1.4292 0.0983
ATOMIC_POSITIONS crystal
B 0.0000 0.0000 0.0000
Co 0.7500 0.7500 0.7500
Pt 0.2500 0.2500 0.2500
Re 0.5000 0.5000 0.5000

---

Entry 7:
! TmNpSc, relaxed, DFT PBE; values from VASP
! Symmetry: F-43m (216)
! Total moment, μB per formula unit: 5.96
! Electronic total energy, eV per atom: -6.79
&SYSTEM
  ibrav = 0, nat = 3, ntyp = 3
/
ATOMIC_SPECIES
Np 237.00 Np.upf
Tm 168.93 Tm.upf
Sc 44.96 Sc.upf
CELL_PARAMETERS angstrom
0.0000 3.6208 3.6208
3.6208 0.0000 3.6208
3.6208 3.6208 0.0000
ATOMIC_POSITIONS crystal
Np 0.2500 0.2500 0.2500
Tm 0.7500 0.7500 0.7500
Sc 0.0000 0.0000 0.0000

---

Entry 8:
! TbUFe, relaxed, DFT PBE; values from VASP
! Symmetry: P4/nmm (129)
! Total moment, μB per formula unit: 0.90
! Electronic total energy, eV per atom: -8.07
&SYSTEM
  ibrav = 0, nat = 6, ntyp = 3
/
ATOMIC_SPECIES
Fe 55.84 Fe.upf
U 238.03 U.upf
Tb 158.93 Tb.upf
CELL_PARAMETERS angstrom
-4.1886 -0.6169 2.0423
-1.0897 -3.2499 -3.2166
2.3704 -4.3160 3.5576
ATOMIC_POSITIONS crystal
Fe 0.0000 0.5000 0.1279
U 0.0000 0.0000 0.0000
Tb 0.5000 0.0000 0.3944
U 0.5000 0.5000 0.0000
Fe 0.5000 0.0000 0.8721
Tb 0.0000 0.5000 0.6056

---

Entry 9:
! NdDy2Mg3Al2Cd, relaxed, DFT PBE; values from VASP
! Symmetry: Amm2 (38)
! Total moment, μB per formula unit: 0.00
! Electronic total energy, eV per atom: -3.32
&SYSTEM
  ibrav = 0, nat = 9, ntyp = 5
/
ATOMIC_SPECIES
Dy 162.50 Dy.upf
Mg 24.30 Mg.upf
Al 26.98 Al.upf
Cd 112.41 Cd.upf
Nd 144.24 Nd.upf
CELL_PARAMETERS angstrom
4.5985 0.0000 0.0000
0.0000 6.5205 3.7052
0.0000 -6.5205 3.7052
ATOMIC_POSITIONS crystal
Dy 0.0000 0.5732 0.0022
Mg 0.5000 0.2447 0.9997
Dy 0.0000 0.0022 0.5732
Mg 0.5000 0.7541 0.7541
Al 0.5000 0.3330 0.6718
Al 0.5000 0.6718 0.3330
Mg 0.5000 0.9997 0.2447
Cd 0.0000 0.9927 0.9927
Nd 0.0000 0.4286 0.4286

---

Entry 10:
! Gd2TmCd3Ir2Pt, relaxed, DFT PBE; values from VASP
! Symmetry: Amm2 (38)
! Total moment, μB per formula unit: 0.00
! Electronic total energy, eV per atom: -5.13
&SYSTEM
  ibrav = 0, nat = 9, ntyp = 5
/
ATOMIC_SPECIES
Gd 157.25 Gd.upf
Cd 112.41 Cd.upf
Ir 192.22 Ir.upf
Pt 195.08 Pt.upf
Tm 168.93 Tm.upf
CELL_PARAMETERS angstrom
3.9478 0.0000 0.0000
0.0000 6.4874 3.7584
0.0000 -6.4874 3.7584
ATOMIC_POSITIONS crystal
Gd 0.0000 0.9998 0.4081
Cd 0.5000 0.7411 0.0007
Ir 0.5000 0.6651 0.3375
Cd 0.5000 0.2578 0.2578
Gd 0.0000 0.4081 0.9998
Pt 0.0000 0.9960 0.9960
Tm 0.0000 0.5940 0.5940
Ir 0.5000 0.3375 0.6651
Cd 0.5000 0.0007 0.7411

---

Entry 11:
! Y3MgNi8, relaxed, DFT PBE; values from VASP
! Symmetry: R3m (160)
! Total moment, μB per formula unit: 0.02
! Electronic total energy, eV per atom: -5.87
&SYSTEM
  ibrav = 0, nat = 12, ntyp = 3
/
ATOMIC_SPECIES
Y 88.91 Y.upf
Ni 58.69 Ni.upf
Mg 24.30 Mg.upf
CELL_PARAMETERS angstrom
2.4932 1.4394 8.1710
-2.4932 1.4394 8.1710
0.0000 -2.8789 8.1710
ATOMIC_POSITIONS crystal
Y 0.6232 0.6232 0.6232
Ni 0.0606 0.5644 0.5644
Y 0.0056 0.0056 0.0056
Ni 0.5644 0.0606 0.5644
Ni 0.0626 0.0626 0.5596
Ni 0.0626 0.5596 0.0626
Y 0.4954 0.4954 0.4954
Mg 0.1274 0.1274 0.1274
Ni 0.5644 0.5644 0.0606
Ni 0.5596 0.0626 0.0626
Ni 0.3123 0.3123 0.3123
Ni 0.8119 0.8119 0.8119

---

Entry 12:
! Dy2Ho5Al, relaxed, DFT PBE; values from VASP
! Symmetry: Amm2 (38)
! Total moment, μB per formula unit: 0.13
! Electronic total energy, eV per atom: -4.51
&SYSTEM
  ibrav = 0, nat = 8, ntyp = 3
/
ATOMIC_SPECIES
Ho 164.93 Ho.upf
Dy 162.50 Dy.upf
Al 26.98 Al.upf
CELL_PARAMETERS angstrom
-0.5414 -0.3160 -5.4426
-4.5734 5.3276 0.1456
2.2869 6.6119 -0.6114
ATOMIC_POSITIONS crystal
Ho 0.0000 0.1595 0.6707
Ho 0.5000 0.8420 0.3290
Dy 0.5000 0.3288 0.3288
Al 0.0000 0.1661 0.1661
Ho 0.5000 0.3290 0.8420
Ho 0.0000 0.6707 0.1595
Dy 0.0000 0.6704 0.6704
Ho 0.5000 0.8336 0.8336

---

Entry 13:
! YAlCoSn, relaxed, DFT PBE; values from VASP
! Symmetry: Cmc2_1 (36)
! Total moment, μB per formula unit: 0.00
! Electronic total energy, eV per atom: -5.86
&SYSTEM
  ibrav = 0, nat = 8, ntyp = 4
/
ATOMIC_SPECIES
Sn 118.71 Sn.upf
Co 58.93 Co.upf
Y 88.91 Y.upf
Al 26.98 Al.upf
CELL_PARAMETERS angstrom
-3.7286 0.8443 -4.0621
0.2417 -3.0109 4.6896
-2.7122 5.4117 3.6143
ATOMIC_POSITIONS crystal
Sn 0.1419 0.8581 0.5531
Co 0.2867 0.7133 0.2559
Y 0.5665 0.4335 0.2419
Al 0.8421 0.1579 0.4491
Co 0.7133 0.2867 0.7559
Al 0.1579 0.8421 0.9491
Y 0.4335 0.5665 0.7419
Sn 0.8581 0.1419 0.0531

---

Entry 14:
! Nb2CuGe2, relaxed, DFT PBE; values from VASP
! Symmetry: I4/mmm (139)
! Total moment, μB per formula unit: 0.01
! Electronic total energy, eV per atom: -6.38
&SYSTEM
  ibrav = 0, nat = 5, ntyp = 3
/
ATOMIC_SPECIES
Cu 63.55 Cu.upf
Nb 92.91 Nb.upf
Ge 72.64 Ge.upf
CELL_PARAMETERS angstrom
-1.8484 1.8484 6.2707
1.8484 -1.8484 6.2707
1.8484 1.8484 -6.2707
ATOMIC_POSITIONS crystal
Cu 0.0000 0.0000 0.0000
Nb 0.4029 0.4029 0.0000
Ge 0.2500 0.7500 0.5000
Nb 0.5971 0.5971 0.0000
Ge 0.7500 0.2500 0.5000

---

Entry 15:
! LuSiHO4, relaxed, DFT PBE; values from VASP
! Symmetry: Pnma (62)
! Total moment, μB per formula unit: 0.00
! Electronic total energy, eV per atom: -7.28
&SYSTEM
  ibrav = 0, nat = 28, ntyp = 4
/
ATOMIC_SPECIES
Lu 174.97 Lu.upf
O 16.00 O.upf
H 1.01 H.upf
Si 28.09 Si.upf
CELL_PARAMETERS angstrom
-0.6300 6.0514 -7.3020
0.0525 -5.2633 -4.3664
-4.4133 -0.2133 0.2040
ATOMIC_POSITIONS crystal
Lu 0.5820 0.7500 0.8722
O 0.1871 0.7500 0.2101
H 0.0000 0.5000 0.0000
O 0.3129 0.2500 0.7101
Si 0.1563 0.2500 0.8470
O 0.8321 0.7500 0.7876
O 0.5567 0.4432 0.7364
O 0.4433 0.5568 0.2636
O 0.4433 0.9432 0.2636
H 0.0000 0.0000 0.0000
H 0.5000 0.0000 0.5000
Si 0.6563 0.2500 0.6530
O 0.0567 0.0568 0.7636
O 0.6679 0.2500 0.2876
Si 0.8437 0.7500 0.1530
O 0.9433 0.5568 0.2364
O 0.0567 0.4432 0.7636
Lu 0.9180 0.2500 0.3722
O 0.5567 0.0568 0.7364
H 0.5000 0.5000 0.5000
O 0.9433 0.9432 0.2364
O 0.6871 0.7500 0.2899
Si 0.3437 0.7500 0.3470
Lu 0.4180 0.2500 0.1278
O 0.3321 0.7500 0.7124
Lu 0.0820 0.7500 0.6278
O 0.8129 0.2500 0.7899
O 0.1679 0.2500 0.2124

---

Entry 16:
! U2Os, relaxed, DFT PBE; values from VASP
! Symmetry: Fd-3m (227)
! Total moment, μB per formula unit: 5.21
! Electronic total energy, eV per atom: -9.18
&SYSTEM
  ibrav = 0, nat = 6, ntyp = 2
/
ATOMIC_SPECIES
U 238.03 U.upf
Os 190.23 Os.upf
CELL_PARAMETERS angstrom
-6.9626 -0.1940 -4.6974
-4.7854 -6.9038 -0.1401
-7.5540 0.0459 3.6765
ATOMIC_POSITIONS crystal
U 0.8750 0.3750 0.3750
U 0.3750 0.8750 0.3750
U 0.3750 0.3750 0.8750
Os 0.5000 0.5000 0.5000
Os 0.2500 0.2500 0.2500
U 0.3750 0.3750 0.3750

---

Entry 17:
! Co3H, relaxed, DFT PBE; values from VASP
! Symmetry: P6_3/mmc (194)
! Total moment, μB per formula unit: 0.01
! Electronic total energy, eV per atom: -5.98
&SYSTEM
  ibrav = 0, nat = 8, ntyp = 2
/
ATOMIC_SPECIES
Co 58.93 Co.upf
H 1.01 H.upf
CELL_PARAMETERS angstrom
-0.6452 -0.6175 -2.3673
-1.6775 -0.2577 1.8766
-3.8988 11.4222 -1.9168
ATOMIC_POSITIONS crystal
Co 0.6666 0.3333 0.5831
Co 0.3334 0.6667 0.0831
H 0.0000 0.0000 0.3333
Co 0.6666 0.3333 0.2441
Co 0.3334 0.6667 0.4222
Co 0.6666 0.3333 0.9222
Co 0.3334 0.6667 0.7441
H 0.0000 0.0000 0.8333

---

Entry 18:
! MgTaBOs, relaxed, DFT PBE; values from VASP
! Symmetry: F-43m (216)
! Total moment, μB per formula unit: 0.00
! Electronic total energy, eV per atom: -7.46
&SYSTEM
  ibrav = 0, nat = 4, ntyp = 4
/
ATOMIC_SPECIES
Ta 180.95 Ta.upf
Os 190.23 Os.upf
Mg 24.30 Mg.upf
B 10.81 B.upf
CELL_PARAMETERS angstrom
-1.5749 0.5962 3.9239
0.0079 3.9022 1.7335
-3.6750 2.1091 0.5278
ATOMIC_POSITIONS crystal
Ta 0.5000 0.5000 0.5000
Os 0.2500 0.2500 0.2500
Mg 0.7500 0.7500 0.7500
B 0.0000 0.0000 0.0000

---

Entry 19:
! BaIn2AgSn, relaxed, DFT PBE; values from VASP
! Symmetry: I4mm (107)
! Electronic total energy, eV per atom: -3.25
&SYSTEM
  ibrav = 0, nat = 5, ntyp = 4
/
ATOMIC_SPECIES
In 114.82 In.upf
Ag 107.87 Ag.upf
Ba 137.33 Ba.upf
Sn 118.71 Sn.upf
CELL_PARAMETERS angstrom
6.5545 -0.4856 2.2264
1.8675 3.1242 5.9080
-5.0296 -4.1992 -2.2856
ATOMIC_POSITIONS crystal
In 0.2422 0.7422 0.5000
In 0.7422 0.2422 0.5000
Ag 0.3610 0.3610 0.0000
Ba 0.9845 0.9845 0.0000
Sn 0.5909 0.5909 0.0000

---

Entry 20:
! AgGe5Au3, relaxed, DFT PBE; values from VASP
! Symmetry: P6/mmm (191)
! Electronic total energy, eV per atom: -3.59
&SYSTEM
  ibrav = 0, nat = 9, ntyp = 3
/
ATOMIC_SPECIES
Ag 107.87 Ag.upf
Ge 72.64 Ge.upf
Au 196.97 Au.upf
CELL_PARAMETERS angstrom
-4.2004 -1.9246 -2.9268
3.4260 -3.4708 2.4757
-4.3106 0.1074 6.1157
ATOMIC_POSITIONS crystal
Ag 0.0000 0.0000 0.0000
Ge 0.3333 0.6667 0.1806
Ge 0.6667 0.3333 0.1806
Ge 0.3333 0.6667 0.8194
Ge 0.0000 0.0000 0.5000
Ge 0.6667 0.3333 0.8194
Au 0.5000 0.5000 0.5000
Au 0.5000 0.0000 0.5000
Au 0.0000 0.5000 0.5000

---

Entry 21:
! HoMg2Al3Si2Pt, relaxed, DFT PBE; values from VASP
! Symmetry: Amm2 (38)
! Total moment, μB per formula unit: 0.00
! Electronic total energy, eV per atom: -4.58
&SYSTEM
  ibrav = 0, nat = 9, ntyp = 5
/
ATOMIC_SPECIES
Si 28.09 Si.upf
Mg 24.30 Mg.upf
Al 26.98 Al.upf
Pt 195.08 Pt.upf
Ho 164.93 Ho.upf
CELL_PARAMETERS angstrom
-4.0762 0.6637 0.0924
0.5106 2.2569 6.3108
0.5771 4.2636 -5.1642
ATOMIC_POSITIONS crystal
Si 0.5000 0.6672 0.3238
Mg 0.0000 0.5926 0.0026
Al 0.5000 0.9996 0.2416
Pt 0.0000 0.9888 0.9888
Al 0.5000 0.2416 0.9996
Ho 0.0000 0.4257 0.4257
Si 0.5000 0.3238 0.6672
Al 0.5000 0.7580 0.7580
Mg 0.0000 0.0026 0.5926

---

Entry 22:
! BaMg2CdPb, relaxed, DFT PBE; values from VASP
! Symmetry: I4mm (107)
! Electronic total energy, eV per atom: -2.25
&SYSTEM
  ibrav = 0, nat = 5, ntyp = 4
/
ATOMIC_SPECIES
Mg 24.30 Mg.upf
Ba 137.33 Ba.upf
Cd 112.41 Cd.upf
Pb 207.20 Pb.upf
CELL_PARAMETERS angstrom
7.3099 -0.1059 -0.2853
4.3252 4.8032 3.4276
-5.7397 -4.3810 1.1786
ATOMIC_POSITIONS crystal
Mg 0.7489 0.2489 0.5000
Mg 0.2489 0.7489 0.5000
Ba 0.9979 0.9979 0.0000
Cd 0.6179 0.6179 0.0000
Pb 0.3864 0.3864 0.0000

---

Entry 23:
! AlW2C, relaxed, DFT PBE; values from VASP
! Symmetry: P6_3/mmc (194)
! Total moment, μB per formula unit: 0.01
! Electronic total energy, eV per atom: -9.69
&SYSTEM
  ibrav = 0, nat = 8, ntyp = 3
/
ATOMIC_SPECIES
W 183.84 W.upf
C 12.01 C.upf
Al 26.98 Al.upf
CELL_PARAMETERS angstrom
-2.7787 1.1358 -0.1191
1.2581 -1.1545 -2.4718
-5.1617 -12.3008 3.1182
ATOMIC_POSITIONS crystal
W 0.6667 0.3333 0.5911
C 0.0000 0.0000 0.0000
Al 0.3333 0.6667 0.7500
W 0.3333 0.6667 0.4089
W 0.6667 0.3333 0.9089
W 0.3333 0.6667 0.0911
C 0.0000 0.0000 0.5000
Al 0.6667 0.3333 0.2500

---

Entry 24:
! Mg5Cd2Au, relaxed, DFT PBE; values from VASP
! Symmetry: Amm2 (38)
! Electronic total energy, eV per atom: -1.80
&SYSTEM
  ibrav = 0, nat = 8, ntyp = 3
/
ATOMIC_SPECIES
Mg 24.30 Mg.upf
Au 196.97 Au.upf
Cd 112.41 Cd.upf
CELL_PARAMETERS angstrom
-1.3796 -4.6905 0.3600
-4.3281 1.5804 4.0050
-5.5079 1.4514 -2.1971
ATOMIC_POSITIONS crystal
Mg 0.0000 0.6571 0.1632
Mg 0.5000 0.8526 0.3348
Au 0.0000 0.1462 0.1462
Cd 0.0000 0.6662 0.6662
Mg 0.5000 0.3348 0.8526
Mg 0.5000 0.8360 0.8360
Mg 0.0000 0.1632 0.6571
Cd 0.5000 0.3440 0.3440

---

Entry 25:
! PmZrCd, relaxed, DFT PBE; values from VASP
! Symmetry: F-43m (216)
! Total moment, μB per formula unit: 1.32
! Electronic total energy, eV per atom: -4.07
&SYSTEM
  ibrav = 0, nat = 3, ntyp = 3
/
ATOMIC_SPECIES
Pm 145.00 Pm.upf
Zr 91.22 Zr.upf
Cd 112.41 Cd.upf
CELL_PARAMETERS angstrom
3.8056 -0.8655 3.1161
-0.3590 1.3127 4.8052
-0.4084 -3.5143 3.5248
ATOMIC_POSITIONS crystal
Pm 0.7500 0.7500 0.7500
Zr 0.0000 0.0000 0.0000
Cd 0.2500 0.2500 0.2500